No. 1
Density functional theory data (PBE) for a relaxed structure of NbTcTeI2.

Computed properties:
relative energy among the computed polymorphs: 0 meV per atom
SG: P4/mmm, No. 123
energy relative to the elements, uncorrected: 1.013 eV/atom

Cell lengths 5.6701, 5.6701, 5.4484 Å; angles 90.00, 90.00, 90.00 degrees
Fractional positions:
Nb 0.0000 0.0000 0.0000
Tc 0.5000 0.5000 0.5000
Te 0.0000 0.0000 0.5000
I 0.0000 0.5000 0.0000
I 0.5000 0.0000 0.0000

***

No. 2
Density functional theory data (PBE) for a relaxed structure of Hf6P2C.

Computed properties:
SG: P2_1/c, No. 14
energy of formation: -84.9 kJ/mol of atoms

Cell lengths 5.7973, 6.5576, 10.0792 Å; angles 90.00, 123.57, 90.00 degrees
Fractional positions:
Hf 0.1028 0.0256 0.2497
Hf 0.1028 0.4744 0.7497
Hf 0.2026 0.6883 0.0539
Hf 0.2026 0.8117 0.5539
Hf 0.3903 0.1765 0.0514
Hf 0.3903 0.3235 0.5514
Hf 0.6097 0.6765 0.4486
Hf 0.6097 0.8235 0.9486
Hf 0.7974 0.1883 0.4461
Hf 0.7974 0.3117 0.9461
Hf 0.8972 0.5256 0.2503
Hf 0.8972 0.9744 0.7503
P 0.3178 0.1219 0.7551
P 0.3178 0.3781 0.2551
P 0.6822 0.6219 0.7449
P 0.6822 0.8781 0.2449
C 0.0000 0.0000 0.0000
C 0.0000 0.5000 0.5000

***

No. 3
Density functional theory data (PBE) for a relaxed structure of Sc4SnRu2Rh.

Computed properties:
SG: R-3m, No. 166
energy of formation: -66.6 kJ/mol of atoms

Cell lengths 8.1222, 8.1222, 8.1222 Å; angles 33.25, 33.25, 33.25 degrees
Fractional positions:
Sc 0.1176 0.1176 0.1176
Sc 0.3702 0.3702 0.3702
Sc 0.6298 0.6298 0.6298
Sc 0.8824 0.8824 0.8824
Sn 0.5000 0.5000 0.5000
Ru 0.2491 0.2491 0.2491
Ru 0.7509 0.7509 0.7509
Rh 0.0000 0.0000 0.0000